Entry 1:
The following is a GGA-PBE calculation of ZrInAu3S4 after structural relaxation, from the Open Quantum Materials Database.

Output
As for the space-group type: P-43m, No. 215. Its total energy is -41.520 eV/cell. The value obtained for the offset from the most stable computed form is 0.00 eV/f.u.

Lattice parameters (Å, degrees): 6.191 6.191 6.191 90.00 90.00 90.00
Positions (direct):
Zr (0.000, 0.000, 0.000)
In (0.500, 0.500, 0.500)
Au (0.000, 0.000, 0.500)
Au (0.000, 0.500, 0.000)
Au (0.500, 0.000, 0.000)
S (0.228, 0.228, 0.772)
S (0.228, 0.772, 0.228)
S (0.772, 0.228, 0.228)
S (0.772, 0.772, 0.772)

Entry 2:
The following is a GGA-PBE calculation of Al2ZnOs after structural relaxation, from the Open Quantum Materials Database.

Output
As for the space-group type: F-43m, No. 216. Its total energy is -79.272 eV/cell.

Lattice parameters (Å, degrees): 6.123 6.123 6.123 90.00 90.00 90.00
Positions (direct):
Al (0.000, 0.000, 0.000)
Al (0.000, 0.500, 0.500)
Al (0.250, 0.250, 0.250)
Al (0.250, 0.750, 0.750)
Al (0.500, 0.000, 0.500)
Al (0.500, 0.500, 0.000)
Al (0.750, 0.250, 0.750)
Al (0.750, 0.750, 0.250)
Zn (0.250, 0.250, 0.750)
Zn (0.250, 0.750, 0.250)
Zn (0.750, 0.250, 0.250)
Zn (0.750, 0.750, 0.750)
Os (0.000, 0.000, 0.500)
Os (0.000, 0.500, 0.000)
Os (0.500, 0.000, 0.000)
Os (0.500, 0.500, 0.500)

Entry 3:
The following is a GGA-PBE calculation of AlCo3 after structural relaxation, from the Open Quantum Materials Database.

Output
As for the space-group type: P6_3/mmc, No. 194. Its total energy is -147.680 eV/cell.

Lattice parameters (Å, degrees): 4.778 4.778 14.565 90.00 90.00 120.00
Positions (direct):
Al (0.000, 0.500, 0.000)
Al (0.000, 0.500, 0.500)
Al (0.500, 0.000, 0.000)
Al (0.500, 0.000, 0.500)
Al (0.500, 0.500, 0.000)
Al (0.500, 0.500, 0.500)
Co (0.000, 0.000, 0.097)
Co (0.000, 0.000, 0.403)
Co (0.000, 0.000, 0.597)
Co (0.000, 0.000, 0.903)
Co (0.158, 0.316, 0.250)
Co (0.158, 0.842, 0.250)
Co (0.316, 0.158, 0.750)
Co (0.333, 0.667, 0.128)
Co (0.333, 0.667, 0.372)
Co (0.333, 0.667, 0.661)
Co (0.333, 0.667, 0.839)
Co (0.667, 0.333, 0.161)
Co (0.667, 0.333, 0.339)
Co (0.667, 0.333, 0.628)
Co (0.667, 0.333, 0.872)
Co (0.684, 0.842, 0.250)
Co (0.842, 0.158, 0.750)
Co (0.842, 0.684, 0.750)

| no. | calculated volume (Å³/cell) |
| --- | --- |
| 1 | 237.32 |
| 2 | 229.61 |
| 3 | 287.98 |